(1)
SCAN Rb2RhF6, single point on PBEsol structure; total energy = -13.15 eV/atom
1.0
5.8746 0.0000 0.0000
-2.9373 5.0875 0.0000
0.0000 0.0000 4.7789
Rb Rh F
2 1 6
Direct
0.3333 0.6667 0.2118
0.6667 0.3333 0.7882
0.0000 0.0000 0.5000
0.1573 0.3147 0.7221
0.1573 0.8427 0.7221
0.3147 0.1573 0.2779
0.6853 0.8427 0.7221
0.8427 0.1573 0.2779
0.8427 0.6853 0.2779

---

(2)
SCAN LaTe2CN, single point on PBEsol structure; total energy = -26.61 eV/atom
1.0
4.9987 0.0000 0.0000
0.0000 4.9987 0.0000
0.0000 0.0000 3.9632
La Te C N
1 2 1 1
Direct
0.0000 0.0000 0.0000
0.0000 0.5000 0.5000
0.5000 0.0000 0.5000
0.5000 0.5000 0.5000
0.5000 0.5000 0.0000

---

For the records above, the corresponding ΔE_f (raw) values read -2.431; 0.794 eV/atom.
For the records above, the corresponding V values read 142.82; 99.03 Å³/cell.